{"formula": "NaNdCdF6", "functional": "PBE-GGA", "state": "optimized geometry", "cell": [[6.098, 0.000, 0.000], [-3.049, 5.281, 0.000], [0.000, 0.000, 9.305]], "species": ["Na", "Na", "Nd", "Nd", "Cd", "Cd", "F", "F", "F", "F", "F", "F", "F", "F", "F", "F", "F", "F"], "fractional_positions": [[0.000, 0.000, 0.000], [0.000, 0.000, 0.500], [0.333, 0.667, 0.250], [0.667, 0.333, 0.750], [0.667, 0.333, 0.250], [0.333, 0.667, 0.750], [0.657, 0.653, 0.130], [0.996, 0.343, 0.130], [0.343, 0.996, 0.630], [0.004, 0.657, 0.870], [0.347, 0.343, 0.370], [0.996, 0.653, 0.370], [0.653, 0.996, 0.870], [0.657, 0.004, 0.370], [0.004, 0.347, 0.630], [0.347, 0.004, 0.130], [0.653, 0.657, 0.630], [0.343, 0.347, 0.870]], "vol_a3_per_cell": 299.7, "raw_formation_energy_ev_per_atom": -3.07, "total_energy_ev_per_atom": -5.10, "magmom_total_mub_per_fu": 0.00}